<P>
# NdSmDy GGA-PBE optimized geometry
data_NdSmDy
_chemical_formula_sum 'Nd4 Sm4 Dy4'
_space_group_name_H-M_alt 'C m m m'
_space_group_IT_number 65
_space_group_name_Hall '-C 2 2'
_cell_length_a 11.635
_cell_length_b 11.689
_cell_length_c 3.485
_cell_angle_alpha 90.00
_cell_angle_beta 90.00
_cell_angle_gamma 90.00
loop_
_atom_site_label
_atom_site_type_symbol
_atom_site_fract_x
_atom_site_fract_y
_atom_site_fract_z
Nd1 Nd 0.000 0.000 0.000
Nd2 Nd 0.000 0.500 0.500
Sm1 Sm 0.000 0.238 0.500
Dy1 Dy 0.237 0.500 0.000
# **Calculated volume**: 473.9 Å³/cell

<Q>
# NdSmDy GGA-PBE optimized geometry
data_NdSmDy
_chemical_formula_sum 'Nd1 Sm1 Dy1'
_space_group_name_H-M_alt 'P 3 m 1'
_space_group_IT_number 156
_space_group_name_Hall 'P 3 -2"'
_cell_length_a 3.6152
_cell_length_b 3.6152
_cell_length_c 8.8533
_cell_angle_alpha 90.00
_cell_angle_beta 90.00
_cell_angle_gamma 120.00
loop_
_atom_site_label
_atom_site_type_symbol
_atom_site_fract_x
_atom_site_fract_y
_atom_site_fract_z
Nd1 Nd 0.0000 0.0000 0.0000
Sm1 Sm 0.6667 0.3333 0.3407
Dy1 Dy 0.3333 0.6667 0.6682
# **Calculated volume**: 100.2 Å³/cell

What are the relative energies? In kJ/mol of atoms: <P> 63.6; <Q> 0.0.

<P>
# Nd4SmDy GGA-PBE optimized geometry
data_Nd4SmDy
_chemical_formula_sum 'Nd16 Sm4 Dy4'
_space_group_name_H-M_alt 'F -4 3 m'
_space_group_IT_number 216
_space_group_name_Hall 'F -4 2 3'
_cell_length_a 9.484
_cell_length_b 9.484
_cell_length_c 9.484
_cell_angle_alpha 90.00
_cell_angle_beta 90.00
_cell_angle_gamma 90.00
loop_
_atom_site_label
_atom_site_type_symbol
_atom_site_fract_x
_atom_site_fract_y
_atom_site_fract_z
Nd1 Nd 0.125 0.125 0.125
Sm1 Sm 0.250 0.250 0.750
Dy1 Dy 0.000 0.000 0.500
# **Calculated volume**: 853.0 Å³/cell

<Q>
# Nd4SmDy GGA-PBE optimized geometry
data_Nd4SmDy
_chemical_formula_sum 'Nd8 Sm2 Dy2'
_space_group_name_H-M_alt 'C 1 2/m 1'
_space_group_IT_number 12
_space_group_name_Hall '-C 2y'
_cell_length_a 11.872
_cell_length_b 3.492
_cell_length_c 11.676
_cell_angle_alpha 90.00
_cell_angle_beta 119.55
_cell_angle_gamma 90.00
loop_
_atom_site_label
_atom_site_type_symbol
_atom_site_fract_x
_atom_site_fract_y
_atom_site_fract_z
Nd1 Nd 0.187 0.000 0.343
Nd2 Nd 0.189 0.000 0.845
Sm1 Sm 0.000 0.000 0.500
Dy1 Dy 0.000 0.000 0.000
# **Calculated volume**: 421.1 Å³/cell

What are the relative energies? In kJ/mol of atoms: <P> 8.0; <Q> 0.0.

<P>
# Nd8Sm2Dy GGA-PBE optimized geometry
data_Nd8Sm2Dy
_chemical_formula_sum 'Nd16 Sm4 Dy2'
_space_group_name_H-M_alt 'C 1 2/m 1'
_space_group_IT_number 12
_space_group_name_Hall '-C 2y'
_cell_length_a 18.636
_cell_length_b 5.175
_cell_length_c 8.185
_cell_angle_alpha 90.00
_cell_angle_beta 105.24
_cell_angle_gamma 90.00
loop_
_atom_site_label
_atom_site_type_symbol
_atom_site_fract_x
_atom_site_fract_y
_atom_site_fract_z
Nd1 Nd 0.046 0.000 0.229
Nd2 Nd 0.091 0.500 0.953
Nd3 Nd 0.136 0.000 0.682
Nd4 Nd 0.181 0.500 0.410
Sm1 Sm 0.227 0.000 0.136
Dy1 Dy 0.000 0.500 0.500
# **Calculated volume**: 761.7 Å³/cell

<Q>
# Nd8Sm2Dy GGA-PBE optimized geometry
data_Nd8Sm2Dy
_chemical_formula_sum 'Nd16 Sm4 Dy2'
_space_group_name_H-M_alt 'C 1 2/m 1'
_space_group_IT_number 12
_space_group_name_Hall '-C 2y'
_cell_length_a 16.900
_cell_length_b 6.862
_cell_length_c 6.794
_cell_angle_alpha 90.00
_cell_angle_beta 100.66
_cell_angle_gamma 90.00
loop_
_atom_site_label
_atom_site_type_symbol
_atom_site_fract_x
_atom_site_fract_y
_atom_site_fract_z
Nd1 Nd 0.087 0.238 0.404
Nd2 Nd 0.092 0.000 0.914
Nd3 Nd 0.244 0.500 0.317
Sm1 Sm 0.196 0.500 0.807
Dy1 Dy 0.000 0.500 0.000
# **Calculated volume**: 774.3 Å³/cell

What are the relative energies? In kJ/mol of atoms: <P> 0.0; <Q> 13.8.

<P>
# Nd12SmDy7 GGA-PBE optimized geometry
data_Nd12SmDy7
_chemical_formula_sum 'Nd36 Sm3 Dy21'
_space_group_name_H-M_alt 'R -3 m'
_space_group_IT_number 166
_space_group_name_Hall '-R 3 2"'
_cell_length_a 13.4824
_cell_length_b 13.4824
_cell_length_c 12.9326
_cell_angle_alpha 90.00
_cell_angle_beta 90.00
_cell_angle_gamma 120.00
loop_
_atom_site_label
_atom_site_type_symbol
_atom_site_fract_x
_atom_site_fract_y
_atom_site_fract_z
Nd1 Nd 0.0000 0.2619 0.0000
Nd2 Nd 0.0885 0.1770 0.7678
Sm1 Sm 0.0000 0.0000 0.5000
Dy1 Dy 0.0000 0.0000 0.0000
Dy2 Dy 0.0448 0.5224 0.1165
# **Calculated volume**: 2035.9 Å³/cell

<Q>
# Nd12SmDy7 GGA-PBE optimized geometry
data_Nd12SmDy7
_chemical_formula_sum 'Nd36 Sm3 Dy21'
_space_group_name_H-M_alt 'R -3'
_space_group_IT_number 148
_space_group_name_Hall '-R 3'
_cell_length_a 19.6837
_cell_length_b 19.6837
_cell_length_c 6.2405
_cell_angle_alpha 90.00
_cell_angle_beta 90.00
_cell_angle_gamma 120.00
loop_
_atom_site_label
_atom_site_type_symbol
_atom_site_fract_x
_atom_site_fract_y
_atom_site_fract_z
Nd1 Nd 0.9997 0.4121 0.4991
Nd2 Nd 0.0973 0.5482 0.9662
Sm1 Sm 0.0000 0.0000 0.0000
Dy1 Dy 0.0000 0.0000 0.5000
Dy2 Dy 0.0814 0.1638 0.7923
# **Calculated volume**: 2093.9 Å³/cell

What are the relative energies? In kJ/mol of atoms: <P> 0.0; <Q> 13.8.

<P>
# Nd2SmDy GGA-PBE optimized geometry
data_Nd2SmDy
_chemical_formula_sum 'Nd2 Sm1 Dy1'
_space_group_name_H-M_alt 'P 4/m m m'
_space_group_IT_number 123
_space_group_name_Hall '-P 4 2'
_cell_length_a 5.143
_cell_length_b 5.143
_cell_length_c 5.120
_cell_angle_alpha 90.00
_cell_angle_beta 90.00
_cell_angle_gamma 90.00
loop_
_atom_site_label
_atom_site_type_symbol
_atom_site_fract_x
_atom_site_fract_y
_atom_site_fract_z
Nd1 Nd 0.000 0.500 0.000
Sm1 Sm 0.000 0.000 0.500
Dy1 Dy 0.500 0.500 0.500
# **Calculated volume**: 135.4 Å³/cell

<Q>
# Nd2SmDy GGA-PBE optimized geometry
data_Nd2SmDy
_chemical_formula_sum 'Nd2 Sm1 Dy1'
_space_group_name_H-M_alt 'P 4/m m m'
_space_group_IT_number 123
_space_group_name_Hall '-P 4 2'
_cell_length_a 4.260
_cell_length_b 4.260
_cell_length_c 7.492
_cell_angle_alpha 90.00
_cell_angle_beta 90.00
_cell_angle_gamma 90.00
loop_
_atom_site_label
_atom_site_type_symbol
_atom_site_fract_x
_atom_site_fract_y
_atom_site_fract_z
Nd1 Nd 0.000 0.000 0.245
Sm1 Sm 0.500 0.500 0.500
Dy1 Dy 0.500 0.500 0.000
# **Calculated volume**: 136.0 Å³/cell

What are the relative energies? In kJ/mol of atoms: <P> 0.0; <Q> 8.9.

<P>
# Nd2SmDy GGA-PBE optimized geometry
data_Nd2SmDy
_chemical_formula_sum 'Nd6 Sm3 Dy3'
_space_group_name_H-M_alt 'R 3 m'
_space_group_IT_number 160
_space_group_name_Hall 'R 3 -2"'
_cell_length_a 3.6468
_cell_length_b 3.6468
_cell_length_c 35.3917
_cell_angle_alpha 90.00
_cell_angle_beta 90.00
_cell_angle_gamma 120.00
loop_
_atom_site_label
_atom_site_type_symbol
_atom_site_fract_x
_atom_site_fract_y
_atom_site_fract_z
Nd1 Nd 0.0000 0.0000 0.0000
Nd2 Nd 0.0000 0.0000 0.1682
Sm1 Sm 0.0000 0.0000 0.7510
Dy1 Dy 0.0000 0.0000 0.5837
# **Calculated volume**: 407.6 Å³/cell

<Q>
# Nd2SmDy GGA-PBE optimized geometry
data_Nd2SmDy
_chemical_formula_sum 'Nd8 Sm4 Dy4'
_space_group_name_H-M_alt 'F m -3 m'
_space_group_IT_number 225
_space_group_name_Hall '-F 4 2 3'
_cell_length_a 8.165
_cell_length_b 8.165
_cell_length_c 8.165
_cell_angle_alpha 90.00
_cell_angle_beta 90.00
_cell_angle_gamma 90.00
loop_
_atom_site_label
_atom_site_type_symbol
_atom_site_fract_x
_atom_site_fract_y
_atom_site_fract_z
Nd1 Nd 0.250 0.250 0.250
Sm1 Sm 0.000 0.000 0.000
Dy1 Dy 0.000 0.000 0.500
# **Calculated volume**: 544.3 Å³/cell

What are the relative energies? In kJ/mol of atoms: <P> 0.0; <Q> 10.8.

<P>
# Nd2SmDy GGA-PBE optimized geometry
data_Nd2SmDy
_chemical_formula_sum 'Nd6 Sm3 Dy3'
_space_group_name_H-M_alt 'R -3 m'
_space_group_IT_number 166
_space_group_name_Hall '-R 3 2"'
_cell_length_a 3.6367
_cell_length_b 3.6367
_cell_length_c 35.4581
_cell_angle_alpha 90.00
_cell_angle_beta 90.00
_cell_angle_gamma 120.00
loop_
_atom_site_label
_atom_site_type_symbol
_atom_site_fract_x
_atom_site_fract_y
_atom_site_fract_z
Nd1 Nd 0.0000 0.0000 0.2491
Sm1 Sm 0.0000 0.0000 0.0000
Dy1 Dy 0.0000 0.0000 0.5000
# **Calculated volume**: 406.1 Å³/cell

<Q>
# Nd2SmDy GGA-PBE optimized geometry
data_Nd2SmDy
_chemical_formula_sum 'Nd4 Sm2 Dy2'
_space_group_name_H-M_alt 'A m m 2'
_space_group_IT_number 38
_space_group_name_Hall 'A 2 -2'
_cell_length_a 5.667
_cell_length_b 3.581
_cell_length_c 13.407
_cell_angle_alpha 90.00
_cell_angle_beta 90.00
_cell_angle_gamma 90.00
loop_
_atom_site_label
_atom_site_type_symbol
_atom_site_fract_x
_atom_site_fract_y
_atom_site_fract_z
Nd1 Nd 0.000 0.000 0.000
Nd2 Nd 0.500 0.000 0.126
Sm1 Sm 0.500 0.000 0.381
Dy1 Dy 0.000 0.000 0.741
# **Calculated volume**: 272.1 Å³/cell

What are the relative energies? In kJ/mol of atoms: <P> 0.0; <Q> 3.9.

<P>
# Nd5Sm3Dy2 GGA-PBE optimized geometry
data_Nd5Sm3Dy2
_chemical_formula_sum 'Nd20 Sm12 Dy8'
_space_group_name_H-M_alt 'C 1 2/c 1'
_space_group_IT_number 15
_space_group_name_Hall '-C 2yc'
_cell_length_a 10.846
_cell_length_b 14.923
_cell_length_c 10.115
_cell_angle_alpha 90.00
_cell_angle_beta 122.41
_cell_angle_gamma 90.00
loop_
_atom_site_label
_atom_site_type_symbol
_atom_site_fract_x
_atom_site_fract_y
_atom_site_fract_z
Nd1 Nd 0.000 0.020 0.250
Nd2 Nd 0.000 0.228 0.250
Nd3 Nd 0.000 0.478 0.750
Nd4 Nd 0.249 0.126 0.750
Sm1 Sm 0.000 0.270 0.750
Sm2 Sm 0.153 0.375 0.556
Dy1 Dy 0.154 0.126 0.057
# **Calculated volume**: 1382.2 Å³/cell

<Q>
# Nd5Sm3Dy2 GGA-PBE optimized geometry
data_Nd5Sm3Dy2
_chemical_formula_sum 'Nd20 Sm12 Dy8'
_space_group_name_H-M_alt 'I b a m'
_space_group_IT_number 72
_space_group_name_Hall '-I 2 2c'
_cell_length_a 13.165
_cell_length_b 16.777
_cell_length_c 6.501
_cell_angle_alpha 90.00
_cell_angle_beta 90.00
_cell_angle_gamma 90.00
loop_
_atom_site_label
_atom_site_type_symbol
_atom_site_fract_x
_atom_site_fract_y
_atom_site_fract_z
Nd1 Nd 0.000 0.000 0.250
Nd2 Nd 0.101 0.342 0.000
Nd3 Nd 0.249 0.500 0.250
Sm1 Sm 0.000 0.500 0.250
Sm2 Sm 0.101 0.158 0.000
Dy1 Dy 0.157 0.247 0.500
# **Calculated volume**: 1435.9 Å³/cell

What are the relative energies? In kJ/mol of atoms: <P> 0.0; <Q> 15.8.

<P>
# Nd4SmDy5 GGA-PBE optimized geometry
data_Nd4SmDy5
_chemical_formula_sum 'Nd8 Sm2 Dy10'
_space_group_name_H-M_alt 'C 1 2/m 1'
_space_group_IT_number 12
_space_group_name_Hall '-C 2y'
_cell_length_a 17.280
_cell_length_b 3.552
_cell_length_c 11.279
_cell_angle_alpha 90.00
_cell_angle_beta 90.11
_cell_angle_gamma 90.00
loop_
_atom_site_label
_atom_site_type_symbol
_atom_site_fract_x
_atom_site_fract_y
_atom_site_fract_z
Nd1 Nd 0.031 0.000 0.249
Nd2 Nd 0.156 0.500 0.750
Sm1 Sm 0.000 0.500 0.500
Dy1 Dy 0.000 0.500 0.000
Dy2 Dy 0.173 0.000 0.049
Dy3 Dy 0.174 0.000 0.448
# **Calculated volume**: 692.3 Å³/cell

<Q>
# Nd4SmDy5 GGA-PBE optimized geometry
data_Nd4SmDy5
_chemical_formula_sum 'Nd8 Sm2 Dy10'
_space_group_name_H-M_alt 'I 4 m m'
_space_group_IT_number 107
_space_group_name_Hall 'I 4 -2'
_cell_length_a 10.664
_cell_length_b 10.664
_cell_length_c 6.030
_cell_angle_alpha 90.00
_cell_angle_beta 90.00
_cell_angle_gamma 90.00
loop_
_atom_site_label
_atom_site_type_symbol
_atom_site_fract_x
_atom_site_fract_y
_atom_site_fract_z
Nd1 Nd 0.000 0.325 0.000
Sm1 Sm 0.000 0.000 0.748
Dy1 Dy 0.000 0.000 0.220
Dy2 Dy 0.189 0.189 0.481
# **Calculated volume**: 685.7 Å³/cell

What are the relative energies? In kJ/mol of atoms: <P> 0.0; <Q> 4.9.

<P>
# NdSm5Dy2 GGA-PBE optimized geometry
data_NdSm5Dy2
_chemical_formula_sum 'Nd2 Sm10 Dy4'
_space_group_name_H-M_alt 'P b a m'
_space_group_IT_number 55
_space_group_name_Hall '-P 2 2ab'
_cell_length_a 7.231
_cell_length_b 14.462
_cell_length_c 5.098
_cell_angle_alpha 90.00
_cell_angle_beta 90.00
_cell_angle_gamma 90.00
loop_
_atom_site_label
_atom_site_type_symbol
_atom_site_fract_x
_atom_site_fract_y
_atom_site_fract_z
Nd1 Nd 0.000 0.000 0.000
Sm1 Sm 0.000 0.500 0.000
Sm2 Sm 0.001 0.250 0.000
Sm3 Sm 0.249 0.625 0.500
Dy1 Dy 0.250 0.375 0.500
# **Calculated volume**: 533.1 Å³/cell

<Q>
# NdSm5Dy2 GGA-PBE optimized geometry
data_NdSm5Dy2
_chemical_formula_sum 'Nd2 Sm10 Dy4'
_space_group_name_H-M_alt 'P -1'
_space_group_IT_number 2
_space_group_name_Hall '-P 1'
_cell_length_a 6.661
_cell_length_b 8.974
_cell_length_c 9.698
_cell_angle_alpha 87.64
_cell_angle_beta 83.49
_cell_angle_gamma 68.24
loop_
_atom_site_label
_atom_site_type_symbol
_atom_site_fract_x
_atom_site_fract_y
_atom_site_fract_z
Nd1 Nd 0.039 0.422 0.250
Sm1 Sm 0.030 0.012 0.339
Sm2 Sm 0.032 0.791 0.048
Sm3 Sm 0.323 0.209 0.548
Sm4 Sm 0.393 0.713 0.750
Sm5 Sm 0.458 0.011 0.161
Dy1 Dy 0.277 0.625 0.424
Dy2 Dy 0.402 0.375 0.924
# **Calculated volume**: 534.9 Å³/cell

What are the relative energies? In kJ/mol of atoms: <P> 0.0; <Q> 10.8.

<P>
# Nd3Sm4Dy4 GGA-PBE optimized geometry
data_Nd3Sm4Dy4
_chemical_formula_sum 'Nd6 Sm8 Dy8'
_space_group_name_H-M_alt 'I m m m'
_space_group_IT_number 71
_space_group_name_Hall '-I 2 2'
_cell_length_a 3.582
_cell_length_b 11.303
_cell_length_c 18.737
_cell_angle_alpha 90.00
_cell_angle_beta 90.00
_cell_angle_gamma 90.00
loop_
_atom_site_label
_atom_site_type_symbol
_atom_site_fract_x
_atom_site_fract_y
_atom_site_fract_z
Nd1 Nd 0.000 0.000 0.000
Nd2 Nd 0.000 0.500 0.103
Sm1 Sm 0.000 0.266 0.331
Dy1 Dy 0.000 0.000 0.232
Dy2 Dy 0.000 0.213 0.500
# **Calculated volume**: 758.5 Å³/cell

<Q>
# Nd3Sm4Dy4 GGA-PBE optimized geometry
data_Nd3Sm4Dy4
_chemical_formula_sum 'Nd6 Sm8 Dy8'
_space_group_name_H-M_alt 'A m m 2'
_space_group_IT_number 38
_space_group_name_Hall 'A 2 -2'
_cell_length_a 10.731
_cell_length_b 5.759
_cell_length_c 12.105
_cell_angle_alpha 90.00
_cell_angle_beta 90.00
_cell_angle_gamma 90.00
loop_
_atom_site_label
_atom_site_type_symbol
_atom_site_fract_x
_atom_site_fract_y
_atom_site_fract_z
Nd1 Nd 0.000 0.000 0.000
Nd2 Nd 0.293 0.000 0.154
Sm1 Sm 0.000 0.000 0.705
Sm2 Sm 0.212 0.000 0.498
Sm3 Sm 0.500 0.000 0.631
Dy1 Dy 0.000 0.000 0.300
Dy2 Dy 0.300 0.000 0.849
Dy3 Dy 0.500 0.000 0.360
# **Calculated volume**: 748.1 Å³/cell

What are the relative energies? In kJ/mol of atoms: <P> 1.8; <Q> 0.0.